No. 1
First-principles (PBE) data for an optimized crystal structure of AsP2HS, as listed in Alexandria via LeMat-Bulk.

- space group = P4/mmm, No. 123
- Fermi-level density of states (states/eV/atom) = 0.974
- distance to the lowest polymorph of the same formula (meV per atom) = 696.8

Cell lengths 4.7713, 4.7713, 4.8735 Å; angles 90.00, 90.00, 90.00 degrees
Last column: magnetic moment on the atom in μB.
Element x y z (fractional)
P: 0.0000 0.5000 0.0000  0.19
H: 0.5000 0.5000 0.5000  0.34
S: 0.0000 0.0000 0.5000  0.10
As: 0.0000 0.0000 0.0000  -0.01
P: 0.5000 0.0000 0.0000  0.19

---

No. 2
First-principles (PBE) data for an optimized crystal structure of Ca8C, as listed in Alexandria via LeMat-Bulk.

- space group = I4/mmm, No. 139
- ΔE_f (meV/atom) = 359
- Fermi-level density of states (states/eV/atom) = 0.854

Cell lengths 9.6380, 9.6380, 9.6380 Å; angles 92.13, 92.13, 157.77 degrees
Element x y z (fractional)
Ca: 0.6136 0.6136 0.2272
Ca: 0.3864 0.3864 0.7728
Ca: 0.6136 0.3864 0.0000
Ca: 0.6664 0.0000 0.6664
Ca: 0.0000 0.3336 0.3336
Ca: 0.3336 0.0000 0.3336
C: 0.0000 0.0000 0.0000
Ca: 0.0000 0.6664 0.6664
Ca: 0.3864 0.6136 0.0000

---

No. 3
First-principles (PBE) data for an optimized crystal structure of AcCdGa3, as listed in Alexandria via LeMat-Bulk.

- space group = Cmcm, No. 63
- ΔE_f (meV/atom) = -385
- Fermi-level density of states (states/eV/atom) = 0.473

Cell lengths 4.3795, 4.5911, 12.3604 Å; angles 100.70, 90.00, 90.00 degrees
Element x y z (fractional)
Cd: 0.7500 0.2013 0.4027
Ga: 0.7500 0.3111 0.6223
Ac: 0.2500 0.0787 0.1575
Cd: 0.2500 0.7987 0.5973
Ac: 0.7500 0.9213 0.8425
Ga: 0.7500 0.5260 0.0521
Ga: 0.2500 0.3691 0.7382
Ga: 0.2500 0.4740 0.9479
Ga: 0.2500 0.6889 0.3777
Ga: 0.7500 0.6309 0.2618

---

No. 4
First-principles (PBE) data for an optimized crystal structure of SrBeAu, as listed in Alexandria via LeMat-Bulk.

- space group = P2_13, No. 198
- ΔE_f (meV/atom) = -358
- Fermi-level density of states (states/eV/atom) = 0.484
- distance to the lowest polymorph of the same formula (meV per atom) = 0.0

Cell lengths 6.5030, 6.5030, 6.5030 Å; angles 90.00, 90.00, 90.00 degrees
Element x y z (fractional)
Be: 0.5941 0.9059 0.0941
Be: 0.4059 0.4059 0.4059
Sr: 0.3763 0.8763 0.6237
Sr: 0.6237 0.3763 0.8763
Au: 0.3403 0.6597 0.1597
Be: 0.9059 0.0941 0.5941
Au: 0.6597 0.1597 0.3403
Sr: 0.1237 0.1237 0.1237
Au: 0.8403 0.8403 0.8403
Be: 0.0941 0.5941 0.9059
Au: 0.1597 0.3403 0.6597
Sr: 0.8763 0.6237 0.3763

---

Repeat the first record exactly.
First-principles (PBE) data for an optimized crystal structure of AsP2HS, as listed in Alexandria via LeMat-Bulk.

- space group = P4/mmm, No. 123
- Fermi-level density of states (states/eV/atom) = 0.974
- distance to the lowest polymorph of the same formula (meV per atom) = 696.8

Cell lengths 4.7713, 4.7713, 4.8735 Å; angles 90.00, 90.00, 90.00 degrees
Last column: magnetic moment on the atom in μB.
Element x y z (fractional)
P: 0.0000 0.5000 0.0000  0.19
H: 0.5000 0.5000 0.5000  0.34
S: 0.0000 0.0000 0.5000  0.10
As: 0.0000 0.0000 0.0000  -0.01
P: 0.5000 0.0000 0.0000  0.19